## A
First-principles (PBE) data for Th2GaCo3 after structural relaxation, as listed in Alexandria via LeMat-Bulk.

Summary:
Crystal system: orthorhombic
SG: Fmmm

Unit cell a=5.728 b=5.728 c=8.094 alpha=110.02 beta=110.02 gamma=91.85
Fractional positions:
Th 0.750 0.250 0.500
Th 0.244 0.244 0.000
Th 0.250 0.750 0.500
Th 0.756 0.756 0.000
Co 0.161 0.161 0.323
Co 0.675 0.162 0.837
Co 0.838 0.325 0.163
Co 0.162 0.675 0.837
Co 0.839 0.839 0.677
Co 0.325 0.838 0.163
Ga 0.666 0.666 0.333
Ga 0.334 0.334 0.667

## B
First-principles (PBE) data for Th2GaCo3 after structural relaxation, as listed in Alexandria via LeMat-Bulk.

Summary:
Crystal system: orthorhombic
SG: Pnma

Unit cell a=3.811 b=6.754 c=16.631 alpha=90.00 beta=90.00 gamma=90.00
Fractional positions:
Th 0.250 0.111 0.710
Th 0.750 0.855 0.074
Th 0.250 0.645 0.574
Th 0.250 0.611 0.790
Th 0.750 0.889 0.290
Th 0.750 0.355 0.426
Th 0.250 0.145 0.926
Th 0.750 0.389 0.210
Co 0.250 0.112 0.145
Co 0.750 0.256 0.051
Co 0.750 0.888 0.855
Co 0.750 0.301 0.810
Co 0.250 0.199 0.310
Co 0.250 0.699 0.190
Co 0.250 0.244 0.551
Co 0.250 0.612 0.355
Co 0.750 0.756 0.449
Co 0.250 0.744 0.949
Co 0.750 0.388 0.645
Co 0.750 0.801 0.690
Ga 0.750 0.021 0.563
Ga 0.750 0.521 0.937
Ga 0.250 0.479 0.063
Ga 0.250 0.979 0.437

B comes first in stability; the runner-up is 0.024 eV/atom higher.

## A
First-principles (PBE) data for Th2Ga2Co3 after structural relaxation, as listed in Alexandria via LeMat-Bulk.

Summary:
Crystal system: monoclinic
SG: C2/m

Unit cell a=3.872 b=7.393 c=9.706 alpha=85.01 beta=78.49 gamma=74.82
Fractional positions:
Ga 0.404 0.527 0.665
Ga 0.596 0.473 0.335
Ga 0.959 0.761 0.321
Ga 0.041 0.239 0.679
Co 0.070 0.988 0.873
Co 0.930 0.012 0.127
Co 0.824 0.532 0.821
Co 0.385 0.757 0.473
Co 0.615 0.243 0.527
Co 0.176 0.468 0.179
Th 0.274 0.115 0.337
Th 0.606 0.734 0.054
Th 0.394 0.266 0.946
Th 0.726 0.885 0.663

## B
First-principles (PBE) data for Th2Ga2Co3 after structural relaxation, as listed in Alexandria via LeMat-Bulk.

Summary:
Crystal system: monoclinic
SG: C2/m

Unit cell a=3.850 b=5.497 c=6.624 alpha=89.35 beta=106.89 gamma=90.00
Fractional positions:
Th 0.369 0.153 0.737
Th 0.631 0.847 0.263
Ga 0.882 0.670 0.764
Ga 0.118 0.330 0.236
Co 0.743 0.361 0.487
Co 0.257 0.639 0.513
Co 0.000 0.000 0.000

B comes first in stability; the runner-up is 0.113 eV/atom higher.

## A
First-principles (PBE) data for Th2Ga3Co after structural relaxation, as listed in Alexandria via LeMat-Bulk.

Summary:
Crystal system: orthorhombic
SG: Fmmm

Unit cell a=5.895 b=5.895 c=8.419 alpha=108.66 beta=108.66 gamma=94.94
Fractional positions:
Ga 0.664 0.166 0.829
Ga 0.336 0.834 0.171
Ga 0.834 0.336 0.171
Ga 0.829 0.829 0.657
Ga 0.171 0.171 0.343
Ga 0.166 0.664 0.829
Th 0.750 0.250 0.500
Th 0.735 0.735 0.000
Th 0.265 0.265 0.000
Th 0.250 0.750 0.500
Co 0.663 0.663 0.327
Co 0.337 0.337 0.673

## B
First-principles (PBE) data for Th2Ga3Co after structural relaxation, as listed in Alexandria via LeMat-Bulk.

Summary:
Crystal system: orthorhombic
SG: Pmm2

Unit cell a=3.821 b=4.392 c=7.601 alpha=90.00 beta=90.00 gamma=90.00
Fractional positions:
Ga 0.500 0.000 0.833
Ga 0.500 0.500 0.657
Ga 0.500 0.000 0.171
Co 0.500 0.500 0.329
Th 0.000 0.500 0.027
Th 0.000 0.000 0.482

B comes first in stability; the runner-up is 0.015 eV/atom higher.

## A
First-principles (PBE) data for Th3Ga2Co after structural relaxation, as listed in Alexandria via LeMat-Bulk.

Summary:
Crystal system: orthorhombic
SG: Pnma

Unit cell a=4.284 b=11.473 c=11.940 alpha=90.00 beta=90.00 gamma=90.00
Fractional positions:
Th 0.750 0.554 0.619
Th 0.750 0.626 0.950
Th 0.250 0.446 0.381
Th 0.750 0.202 0.270
Th 0.250 0.702 0.230
Th 0.750 0.874 0.450
Th 0.250 0.798 0.730
Th 0.250 0.374 0.050
Th 0.750 0.946 0.119
Th 0.750 0.298 0.770
Th 0.250 0.054 0.881
Th 0.250 0.126 0.550
Ga 0.250 0.500 0.804
Ga 0.750 0.000 0.696
Ga 0.750 0.191 0.014
Ga 0.250 0.691 0.486
Ga 0.250 0.000 0.304
Ga 0.750 0.309 0.514
Ga 0.750 0.500 0.196
Ga 0.250 0.809 0.986
Co 0.250 0.132 0.124
Co 0.750 0.632 0.376
Co 0.750 0.868 0.876
Co 0.250 0.368 0.624

## B
First-principles (PBE) data for Th3Ga2Co after structural relaxation, as listed in Alexandria via LeMat-Bulk.

Summary:
Crystal system: monoclinic
SG: C2/c

Unit cell a=7.691 b=6.312 c=6.312 alpha=85.44 beta=76.03 gamma=76.03
Fractional positions:
Th 0.461 0.765 0.933
Th 0.750 0.550 0.450
Th 0.039 0.067 0.235
Th 0.250 0.450 0.550
Th 0.961 0.933 0.765
Th 0.539 0.235 0.067
Ga 0.372 0.913 0.463
Ga 0.128 0.537 0.087
Ga 0.628 0.087 0.537
Ga 0.872 0.463 0.913
Co 0.750 0.855 0.145
Co 0.250 0.145 0.855

A comes first in stability; the runner-up is 0.090 eV/atom higher.